Entry 1:
{"formula": "Cr3N2", "functional": "PBE", "state": "optimized geometry", "lattice": [[2.6132, -4.5262, 0.0000], [2.6132, 4.5262, 0.0000], [0.0000, 0.0000, 2.8465]], "species": ["Cr", "Cr", "Cr", "N", "N"], "fractional_positions": [[0.0000, 0.6858, 0.0000], [0.6858, 0.0000, 0.0000], [0.3142, 0.3142, 0.0000], [0.6667, 0.3333, 0.9989], [0.3333, 0.6667, 0.0011]], "sg": "No. 150", "raw_formation_energy_ev_per_fu": 1.91, "m_tot_mub_per_cell": 6.200, "total_energy_ev_per_atom": -8.72, "dos_at_fermi_per_ev_atom": 0.809, "de_polymorph_kcal_per_mol_atoms": 18.61}

---

Entry 2:
{"formula": "Cr3N4", "functional": "PBE", "state": "optimized geometry", "lattice": [[3.9740, 0.0000, 0.0000], [0.0000, 3.9740, 0.0000], [0.0000, 0.0000, 3.9740]], "species": ["Cr", "Cr", "Cr", "N", "N", "N", "N"], "fractional_positions": [[0.0000, 0.5000, 0.5000], [0.5000, 0.5000, 0.0000], [0.5000, 0.0000, 0.5000], [0.0000, 0.0000, 0.5000], [0.0000, 0.5000, 0.0000], [0.5000, 0.0000, 0.0000], [0.5000, 0.5000, 0.5000]], "sg": "No. 221", "raw_formation_energy_ev_per_fu": -0.85, "m_tot_mub_per_cell": 3.685, "total_energy_ev_per_atom": -9.00, "dos_at_fermi_per_ev_atom": 0.736, "de_polymorph_kcal_per_mol_atoms": 4.57}

---

Entry 3:
{"formula": "Cr3N2", "functional": "PBE", "state": "optimized geometry", "lattice": [[6.8560, -0.0039, 0.0099], [6.3138, 2.6721, 0.0099], [1.5602, 0.3161, 7.4010]], "species": ["Cr", "Cr", "Cr", "Cr", "Cr", "Cr", "Cr", "Cr", "Cr", "N", "N", "N", "N", "N", "N"], "fractional_positions": [[0.8718, 0.8718, 0.2633], [0.1282, 0.1282, 0.7367], [0.1680, 0.1680, 0.0493], [0.8320, 0.8320, 0.9507], [0.1976, 0.1976, 0.3909], [0.8024, 0.8024, 0.6091], [0.5422, 0.5422, 0.3403], [0.4578, 0.4578, 0.6597], [0.5000, 0.5000, 0.0000], [0.3861, 0.3861, 0.4629], [0.6139, 0.6139, 0.5371], [0.2898, 0.2898, 0.1523], [0.7102, 0.7102, 0.8477], [0.0248, 0.0248, 0.1724], [0.9752, 0.9752, 0.8276]], "sg": "No. 12", "raw_formation_energy_ev_per_fu": -1.93, "m_tot_mub_per_cell": 0.285, "total_energy_ev_per_atom": -9.49, "dos_at_fermi_per_ev_atom": 0.808, "de_polymorph_kcal_per_mol_atoms": 0.88}

---

Entry 4:
{"formula": "Cr3N2", "functional": "PBE", "state": "optimized geometry", "lattice": [[4.7750, 0.0000, 0.0000], [0.0000, 5.2056, 0.0000], [0.0000, 0.0000, 7.4080]], "species": ["Cr", "Cr", "Cr", "Cr", "Cr", "Cr", "Cr", "Cr", "Cr", "Cr", "Cr", "Cr", "N", "N", "N", "N", "N", "N", "N", "N"], "fractional_positions": [[0.3896, 0.6048, 0.8363], [0.1104, 0.1048, 0.6637], [0.1104, 0.3952, 0.3363], [0.3896, 0.8952, 0.1637], [0.6104, 0.3952, 0.1637], [0.8896, 0.8952, 0.3363], [0.8896, 0.6048, 0.6637], [0.6104, 0.1048, 0.8363], [0.9302, 0.7500, 0.0000], [0.5698, 0.2500, 0.5000], [0.0698, 0.2500, 0.0000], [0.4302, 0.7500, 0.5000], [0.2506, 0.5463, 0.1078], [0.2494, 0.0463, 0.3922], [0.2494, 0.4537, 0.6078], [0.2506, 0.9537, 0.8922], [0.7494, 0.4537, 0.8922], [0.7506, 0.9537, 0.6078], [0.7506, 0.5463, 0.3922], [0.7494, 0.0463, 0.1078]], "sg": "No. 60", "raw_formation_energy_ev_per_fu": -1.51, "m_tot_mub_per_cell": 4.688, "total_energy_ev_per_atom": -9.41, "dos_at_fermi_per_ev_atom": 1.018, "de_polymorph_kcal_per_mol_atoms": 2.81}

---

Entry 5:
{"formula": "Cr3N4", "functional": "PBE", "state": "optimized geometry", "lattice": [[4.6604, 2.1225, -2.9561], [1.8254, -4.0174, 3.9359], [-3.7587, -2.5295, -3.7996]], "species": ["Cr", "Cr", "Cr", "Cr", "Cr", "Cr", "N", "N", "N", "N", "N", "N", "N", "N"], "fractional_positions": [[0.6250, 0.3750, 0.2500], [0.8750, 0.1250, 0.7500], [0.1250, 0.7500, 0.8750], [0.3750, 0.2500, 0.6250], [0.7500, 0.8750, 0.1250], [0.2500, 0.6250, 0.3750], [0.0618, 0.5000, 0.0000], [0.0000, 0.0618, 0.5000], [0.4382, 0.4382, 0.4382], [0.5000, 0.0000, 0.0618], [0.0000, 0.5618, 0.5000], [0.5618, 0.5000, 0.0000], [0.9382, 0.9382, 0.9382], [0.5000, 0.0000, 0.5618]], "sg": "No. 220", "raw_formation_energy_ev_per_fu": -1.66, "m_tot_mub_per_cell": 10.263, "total_energy_ev_per_atom": -9.12, "dos_at_fermi_per_ev_atom": 0.549, "de_polymorph_kcal_per_mol_atoms": 1.89}

---

Entry 6:
{"formula": "Cr3N4", "functional": "PBE", "state": "optimized geometry", "lattice": [[0.0000, 4.0927, 4.0927], [4.0927, 0.0000, 4.0927], [4.0927, 4.0927, 0.0000]], "species": ["Cr", "Cr", "Cr", "Cr", "Cr", "Cr", "N", "N", "N", "N", "N", "N", "N", "N"], "fractional_positions": [[0.0000, 0.0000, 0.0000], [0.2500, 0.2500, 0.2500], [0.6250, 0.6250, 0.1250], [0.6250, 0.1250, 0.6250], [0.6250, 0.6250, 0.6250], [0.1250, 0.6250, 0.6250], [0.8712, 0.8712, 0.3865], [0.8712, 0.3865, 0.8712], [0.8712, 0.8712, 0.8712], [0.3865, 0.8712, 0.8712], [0.3788, 0.3788, 0.8635], [0.3788, 0.8635, 0.3788], [0.3788, 0.3788, 0.3788], [0.8635, 0.3788, 0.3788]], "sg": "No. 227", "raw_formation_energy_ev_per_fu": -2.00, "m_tot_mub_per_cell": 11.430, "total_energy_ev_per_atom": -9.17, "dos_at_fermi_per_ev_atom": 0.564, "de_polymorph_kcal_per_mol_atoms": 0.80}

---

Entry 7:
{"formula": "Cr3N4", "functional": "PBE", "state": "optimized geometry", "lattice": [[-2.7467, -1.4432, 7.4171], [1.0009, -6.0761, -5.1692], [2.9457, -0.3799, 1.0169]], "species": ["Cr", "Cr", "Cr", "Cr", "Cr", "Cr", "N", "N", "N", "N", "N", "N", "N", "N"], "fractional_positions": [[0.5972, 0.8196, 0.7500], [0.2224, 0.4028, 0.7500], [0.1804, 0.7776, 0.7500], [0.4028, 0.1804, 0.2500], [0.7776, 0.5972, 0.2500], [0.8196, 0.2224, 0.2500], [0.3333, 0.6667, 0.7500], [0.6667, 0.3333, 0.2500], [0.7078, 0.6688, 0.7500], [0.9610, 0.2922, 0.7500], [0.3312, 0.0390, 0.7500], [0.2922, 0.3312, 0.2500], [0.0390, 0.7078, 0.2500], [0.6688, 0.9610, 0.2500]], "sg": "No. 176", "raw_formation_energy_ev_per_fu": -1.99, "m_tot_mub_per_cell": 10.970, "total_energy_ev_per_atom": -9.17, "dos_at_fermi_per_ev_atom": 0.487, "de_polymorph_kcal_per_mol_atoms": 0.82}

---

Entry 8:
{"formula": "Cr3N2", "functional": "PBE", "state": "optimized geometry", "lattice": [[-0.5148, 1.2342, 5.3185], [-4.5641, 0.7659, 2.9423], [-2.0372, -3.0547, 4.0735]], "species": ["Cr", "Cr", "Cr", "Cr", "Cr", "Cr", "N", "N", "N", "N"], "fractional_positions": [[0.7500, 0.4256, 0.0744], [0.0744, 0.7500, 0.4256], [0.4256, 0.0744, 0.7500], [0.5744, 0.9256, 0.2500], [0.2500, 0.5744, 0.9256], [0.9256, 0.2500, 0.5744], [0.3409, 0.3409, 0.3409], [0.8410, 0.8410, 0.8410], [0.6590, 0.6590, 0.6590], [0.1590, 0.1590, 0.1590]], "sg": "No. 167", "raw_formation_energy_ev_per_fu": -2.12, "m_tot_mub_per_cell": 0.000, "total_energy_ev_per_atom": -9.53, "dos_at_fermi_per_ev_atom": 1.055, "de_polymorph_kcal_per_mol_atoms": 0.00}

---

Entry 9:
{"formula": "Cr3N2", "functional": "PBE", "state": "optimized geometry", "lattice": [[-1.9941, 1.3808, -1.8679], [-0.8808, -0.8842, 2.7954], [3.3523, 10.9596, 4.5227]], "species": ["Cr", "Cr", "Cr", "Cr", "Cr", "Cr", "N", "N", "N", "N"], "fractional_positions": [[0.3333, 0.6667, 0.4232], [0.6667, 0.3333, 0.5768], [0.6667, 0.3333, 0.9232], [0.3333, 0.6667, 0.0768], [0.0000, 0.0000, 0.2500], [0.0000, 0.0000, 0.7500], [0.0000, 0.0000, 0.5000], [0.0000, 0.0000, 0.0000], [0.6667, 0.3333, 0.2500], [0.3333, 0.6667, 0.7500]], "sg": "No. 194", "raw_formation_energy_ev_per_fu": -0.37, "m_tot_mub_per_cell": 3.157, "total_energy_ev_per_atom": -9.18, "dos_at_fermi_per_ev_atom": 0.971, "de_polymorph_kcal_per_mol_atoms": 8.09}

---

Entry 10:
{"formula": "Cr5N", "functional": "PBE", "state": "optimized geometry", "lattice": [[2.7278, 0.0000, 0.0000], [0.0000, 4.3860, 0.0000], [0.0000, -2.1930, 5.4364]], "species": ["Cr", "Cr", "Cr", "Cr", "Cr", "N"], "fractional_positions": [[0.5000, 0.8767, 0.7534], [0.0000, 0.6808, 0.3615], [0.5000, 0.5000, 0.0000], [0.0000, 0.3192, 0.6385], [0.5000, 0.1233, 0.2466], [0.0000, 0.0000, 0.0000]], "sg": "No. 65", "raw_formation_energy_ev_per_fu": 1.33, "m_tot_mub_per_cell": 0.010, "total_energy_ev_per_atom": -9.19, "dos_at_fermi_per_ev_atom": 1.082}